BaCa2MnP, relaxed, DFT GGA-PBE; raw total energy = -20.276 eV/cell; formation energy = 0.05 eV per atom; size of the total moment = 0.343 μB per atom
1.0
5.604 0.000 0.000
0.000 5.604 0.000
0.000 0.000 4.513
Ba Ca Mn P
1 2 1 1
Direct
0.000 0.000 0.000
0.000 0.500 0.500
0.500 0.000 0.500
0.500 0.500 0.500
0.500 0.500 0.000

=====

Tc5Ni3, relaxed, DFT GGA-PBE; raw total energy = -68.900 eV/cell; formation energy = 0.03 eV per atom; size of the total moment = 0.000 μB per atom
1.0
3.709 -3.797 0.000
3.709 3.797 0.000
0.000 0.000 3.750
Tc Ni
5 3
Direct
0.000 0.000 0.000
0.000 0.500 0.000
0.254 0.746 0.500
0.500 0.000 0.000
0.746 0.254 0.500
0.252 0.252 0.500
0.500 0.500 0.000
0.748 0.748 0.500

=====

KCaHg2, relaxed, DFT GGA-PBE; raw total energy = -4.685 eV/cell; formation energy = -0.25 eV per atom; size of the total moment = 0.000 μB per atom
1.0
3.928 -2.026 0.000
3.928 2.026 0.000
-1.972 0.000 8.932
K Ca Hg
1 1 2
Direct
0.000 0.000 0.000
0.500 0.500 0.500
0.239 0.239 0.719
0.761 0.761 0.281

=====

MoPtRh6, relaxed, DFT GGA-PBE; raw total energy = -62.091 eV/cell; formation energy = -0.14 eV per atom; size of the total moment = 0.000 μB per atom
1.0
3.870 0.000 0.000
0.000 3.870 0.000
0.000 0.000 7.744
Mo Pt Rh
1 1 6
Direct
0.000 0.000 0.000
0.000 0.000 0.500
0.000 0.500 0.243
0.000 0.500 0.757
0.500 0.000 0.243
0.500 0.000 0.757
0.500 0.500 0.000
0.500 0.500 0.500

=====

NiBiSb2, relaxed, DFT GGA-PBE; ΔE_f (raw) = -0.0282 eV per atom; raw total energy = -18.020 eV/cell; size of the total moment = 0.000 μB per atom
1.0
1.879 1.085 8.939
-1.879 1.085 8.939
0.000 -2.169 8.939
Ni Bi Sb
1 1 2
Direct
0.000 0.000 0.000
0.500 0.500 0.500
0.382 0.382 0.382
0.618 0.618 0.618

=====

Ac2LaTmO6, relaxed, DFT GGA-PBE; ΔE_f (raw) = -3.4076 eV per atom; raw total energy = -162.883 eV/cell; size of the total moment = 0.000 μB per atom
1.0
6.091 0.000 0.000
0.000 6.300 0.000
-6.040 0.000 8.855
Ac La Tm O
4 2 2 12
Direct
0.236 0.048 0.252
0.236 0.452 0.752
0.764 0.548 0.248
0.764 0.952 0.748
0.500 0.000 0.000
0.500 0.500 0.500
0.000 0.000 0.500
0.000 0.500 0.000
0.113 0.206 0.926
0.113 0.294 0.426
0.231 0.689 0.935
0.231 0.811 0.435
0.366 0.061 0.739
0.366 0.439 0.239
0.634 0.561 0.761
0.634 0.939 0.261
0.769 0.189 0.565
0.769 0.311 0.065
0.887 0.706 0.574
0.887 0.794 0.074

=====

Tb5InAu4, relaxed, DFT GGA-PBE; raw total energy = -46.733 eV/cell; formation energy = -0.77 eV per atom; size of the total moment = 0.000 μB per atom
1.0
3.604 0.000 0.000
0.000 3.604 0.000
0.000 0.000 18.687
Tb In Au
5 1 4
Direct
0.000 0.000 0.000
0.000 0.000 0.195
0.000 0.000 0.388
0.000 0.000 0.612
0.000 0.000 0.805
0.500 0.500 0.500
0.500 0.500 0.097
0.500 0.500 0.294
0.500 0.500 0.706
0.500 0.500 0.903

=====

Si2SnCl, relaxed, DFT GGA-PBE; ΔE_f (raw) = 0.4383 eV per atom; raw total energy = -14.942 eV/cell; size of the total moment = 0.000 μB per atom
1.0
0.000 3.414 3.414
3.414 0.000 3.414
3.414 3.414 0.000
Si Sn Cl
2 1 1
Direct
0.250 0.250 0.250
0.750 0.750 0.750
0.000 0.000 0.000
0.500 0.500 0.500

=====

Mg2B6Mo, relaxed, DFT GGA-PBE; raw total energy = -56.490 eV/cell; formation energy = -0.27 eV per atom; size of the total moment = 0.000 μB per atom
1.0
5.312 0.000 0.000
-2.656 4.600 0.000
0.000 0.000 3.339
Mg B Mo
2 6 1
Direct
0.333 0.667 0.000
0.667 0.333 0.000
0.000 0.330 0.500
0.000 0.670 0.500
0.330 0.000 0.500
0.330 0.330 0.500
0.670 0.000 0.500
0.670 0.670 0.500
0.000 0.000 0.000

=====

Ho6As2PtS3, relaxed, DFT GGA-PBE; ΔE_f (raw) = -1.6884 eV per atom; raw total energy = -75.449 eV/cell; size of the total moment = 0.000 μB per atom
1.0
8.748 -1.988 0.000
8.748 1.988 0.000
-1.905 0.000 7.815
Ho As Pt S
6 2 1 3
Direct
0.002 0.002 0.253
0.333 0.333 0.419
0.333 0.333 0.916
0.667 0.667 0.084
0.667 0.667 0.581
0.998 0.998 0.747
0.166 0.166 0.833
0.834 0.834 0.167
0.500 0.500 0.500
0.170 0.170 0.333
0.500 0.500 0.000
0.830 0.830 0.667

=====

Sr2LiPd2, relaxed, DFT GGA-PBE; raw total energy = -18.305 eV/cell; formation energy = -0.53 eV per atom; size of the total moment = 0.000 μB per atom
1.0
-2.199 3.026 4.677
2.199 -3.026 4.677
2.199 3.026 -4.677
Sr Li Pd
2 1 2
Direct
0.196 0.196 0.000
0.804 0.804 0.000
0.500 0.000 0.500
0.246 0.500 0.746
0.754 0.500 0.254

=====

LaCoI, relaxed, DFT GGA-PBE; ΔE_f (raw) = -0.7806 eV per atom; raw total energy = -31.850 eV/cell; size of the total moment = 0.044 μB per atom
1.0
3.584 -2.069 0.000
3.584 2.069 0.000
-2.546 0.000 12.511
La Co I
2 2 2
Direct
0.000 0.000 0.000
0.108 0.108 0.305
0.388 0.388 0.153
0.721 0.721 0.153
0.268 0.268 0.818
0.507 0.507 0.487

=====

NaCaNb, relaxed, DFT GGA-PBE; raw total energy = -20.269 eV/cell; formation energy = 1.09 eV per atom; size of the total moment = 1.047 μB per atom
1.0
5.601 0.000 0.000
-2.800 4.850 0.000
0.000 0.000 6.366
Na Ca Nb
2 2 2
Direct
0.000 0.000 0.000
0.000 0.000 0.500
0.333 0.667 0.250
0.667 0.333 0.750
0.333 0.667 0.750
0.667 0.333 0.250